A crystal of CsAlZnF6 relaxed with PBEsol. Source: the Alexandria database, functional SCAN.

```
data_CsAlZnF6
_chemical_formula_sum 'Cs4 Al4 Zn4 F24'
_symmetry_space_group_name_H-M 'P n m a'
_symmetry_Int_Tables_number 62
_cell_length_a 7.1523
_cell_length_b 7.0918
_cell_length_c 10.0702
_cell_angle_alpha 90.00
_cell_angle_beta 90.00
_cell_angle_gamma 90.00
loop_
_symmetry_equiv_pos_as_xyz
'x,y,z'
'-x,-y,-z'
'-x+1/2,-y,z+1/2'
'x+1/2,y,-z+1/2'
'x+1/2,-y+1/2,-z+1/2'
'-x+1/2,y+1/2,z+1/2'
'-x,y+1/2,-z'
'x,-y+1/2,z'
loop_
_atom_site_label
_atom_site_fract_x
_atom_site_fract_y
_atom_site_fract_z
Cs1 0.0154 0.2500 0.1276
Al1 0.0000 0.0000 0.5000
Zn1 0.2220 0.2500 0.7611
F1 0.0360 0.2500 0.4602
F2 0.0368 0.7500 0.1665
F3 0.1439 0.0214 0.6461
F4 0.2062 0.5535 0.4038
```

Total DFT energy (no corrections): -12.213 eV per atom
Total moment: 0.000 μB/atom
Volume: 14.19 A^3/atom
Raw formation energy: -3289 meV per atom